# 1
# TaBeSbTe | OQMD | PBE | relaxed
data_TaBeSbTe
_space_group_name_H-M_alt 'F -4 3 m'
_space_group_IT_number 216
_space_group_name_Hall 'F -4 2 3'
_cell_length_a 6.8319
_cell_length_b 6.8319
_cell_length_c 6.8319
_cell_angle_alpha 90.00
_cell_angle_beta 90.00
_cell_angle_gamma 90.00
loop_
_atom_site_label
_atom_site_type_symbol
_atom_site_fract_x
_atom_site_fract_y
_atom_site_fract_z
_atom_site_occupancy
Ta1 Ta 0.0000 0.0000 0.0000 1
Be1 Be 0.0000 0.0000 0.5000 1
Sb1 Sb 0.2500 0.2500 0.2500 1
Te1 Te 0.2500 0.2500 0.7500 1
# theoretical density = 9.15 g/cm3
# V = 19.930 Å³ per atom
# raw total energy = -5.08 eV/atom
# magnetization = 0.97 μB per formula unit

# 2
# Lu2AgPt | OQMD | PBE | relaxed
data_Lu2AgPt
_space_group_name_H-M_alt 'F -4 3 m'
_space_group_IT_number 216
_space_group_name_Hall 'F -4 2 3'
_cell_length_a 6.7843
_cell_length_b 6.7843
_cell_length_c 6.7843
_cell_angle_alpha 90.00
_cell_angle_beta 90.00
_cell_angle_gamma 90.00
loop_
_atom_site_label
_atom_site_type_symbol
_atom_site_fract_x
_atom_site_fract_y
_atom_site_fract_z
_atom_site_occupancy
Lu1 Lu 0.0000 0.0000 0.0000 1
Lu2 Lu 0.2500 0.2500 0.2500 1
Ag1 Ag 0.2500 0.2500 0.7500 1
Pt1 Pt 0.0000 0.0000 0.5000 1
# theoretical density = 13.89 g/cm3
# V = 19.516 Å³ per atom
# raw total energy = -4.98 eV/atom
# magnetization = 0.00 μB per formula unit
# formation energy from the elements = -0.501 eV per atom

# 3
# TmFeCo | OQMD | PBE | relaxed
data_TmFeCo
_space_group_name_H-M_alt 'F -4 3 m'
_space_group_IT_number 216
_space_group_name_Hall 'F -4 2 3'
_cell_length_a 6.0094
_cell_length_b 6.0094
_cell_length_c 6.0094
_cell_angle_alpha 90.00
_cell_angle_beta 90.00
_cell_angle_gamma 90.00
loop_
_atom_site_label
_atom_site_type_symbol
_atom_site_fract_x
_atom_site_fract_y
_atom_site_fract_z
_atom_site_occupancy
Tm1 Tm 0.0000 0.0000 0.0000 1
Fe1 Fe 0.2500 0.2500 0.2500 1
Co1 Co 0.2500 0.2500 0.7500 1
# theoretical density = 8.68 g/cm3
# V = 18.084 Å³ per atom
# raw total energy = -5.65 eV/atom
# magnetization = 2.84 μB per formula unit
# formation energy from the elements = 0.976 eV per atom

# 4
# Y2TmIn3Cu3 | OQMD | PBE | relaxed
data_Y2TmIn3Cu3
_space_group_name_H-M_alt 'A m m 2'
_space_group_IT_number 38
_cell_length_a 3.8338
_cell_length_b 13.0178
_cell_length_c 7.5321
_cell_angle_alpha 90.00
_cell_angle_beta 90.00
_cell_angle_gamma 90.00
loop_
_space_group_symop_operation_xyz
'x,y,z'
'-x,-y,z'
'-x,y,z'
'x,-y,z'
'x,y+1/2,z+1/2'
'-x,-y+1/2,z+1/2'
'-x,y+1/2,z+1/2'
'x,-y+1/2,z+1/2'
loop_
_atom_site_label
_atom_site_type_symbol
_atom_site_fract_x
_atom_site_fract_y
_atom_site_fract_z
_atom_site_occupancy
Y1 Y 0.0000 0.2044 0.0000 1
Tm1 Tm 0.0000 0.0000 0.6130 1
In1 In 0.5000 0.0000 0.9466 1
In2 In 0.5000 0.1280 0.3338 1
Cu1 Cu 0.0000 0.0000 0.2057 1
Cu2 Cu 0.5000 0.1645 0.7036 1
# theoretical density = 7.79 g/cm3
# V = 20.884 Å³ per atom
# raw total energy = -4.51 eV/atom
# magnetization = 0.01 μB per formula unit

# 5
# Tm6GaNi2 | OQMD | PBE | relaxed
data_Tm6GaNi2
_space_group_name_H-M_alt 'I m m m'
_space_group_IT_number 71
_space_group_name_Hall '-I 2 2'
_cell_length_a 9.1377
_cell_length_b 9.4040
_cell_length_c 9.8123
_cell_angle_alpha 90.00
_cell_angle_beta 90.00
_cell_angle_gamma 90.00
loop_
_atom_site_label
_atom_site_type_symbol
_atom_site_fract_x
_atom_site_fract_y
_atom_site_fract_z
_atom_site_occupancy
Tm1 Tm 0.0000 0.1963 0.2373 1
Tm2 Tm 0.1943 0.5000 0.1734 1
Tm3 Tm 0.2170 0.3193 0.5000 1
Ga1 Ga 0.0000 0.0000 0.0000 1
Ga2 Ga 0.0000 0.0000 0.5000 1
Ni1 Ni 0.0000 0.3472 0.0000 1
Ni2 Ni 0.0000 0.5000 0.3779 1
# theoretical density = 9.46 g/cm3
# V = 23.421 Å³ per atom
# raw total energy = -4.96 eV/atom
# magnetization = 0.00 μB per formula unit

# 6
# MgBeNiSn | OQMD | PBE | relaxed
data_MgBeNiSn
_space_group_name_H-M_alt 'F -4 3 m'
_space_group_IT_number 216
_space_group_name_Hall 'F -4 2 3'
_cell_length_a 6.1979
_cell_length_b 6.1979
_cell_length_c 6.1979
_cell_angle_alpha 90.00
_cell_angle_beta 90.00
_cell_angle_gamma 90.00
loop_
_atom_site_label
_atom_site_type_symbol
_atom_site_fract_x
_atom_site_fract_y
_atom_site_fract_z
_atom_site_occupancy
Mg1 Mg 0.0000 0.0000 0.0000 1
Be1 Be 0.2500 0.2500 0.7500 1
Ni1 Ni 0.2500 0.2500 0.2500 1
Sn1 Sn 0.0000 0.0000 0.5000 1
# theoretical density = 5.88 g/cm3
# V = 14.880 Å³ per atom
# raw total energy = -3.63 eV/atom
# magnetization = 0.01 μB per formula unit

# 7
# ScCoNiB | OQMD | PBE | relaxed
data_ScCoNiB
_space_group_name_H-M_alt 'F -4 3 m'
_space_group_IT_number 216
_space_group_name_Hall 'F -4 2 3'
_cell_length_a 5.6476
_cell_length_b 5.6476
_cell_length_c 5.6476
_cell_angle_alpha 90.00
_cell_angle_beta 90.00
_cell_angle_gamma 90.00
loop_
_atom_site_label
_atom_site_type_symbol
_atom_site_fract_x
_atom_site_fract_y
_atom_site_fract_z
_atom_site_occupancy
Sc1 Sc 0.0000 0.0000 0.0000 1
Co1 Co 0.2500 0.2500 0.2500 1
Ni1 Ni 0.2500 0.2500 0.7500 1
B1 B 0.0000 0.0000 0.5000 1
# theoretical density = 6.39 g/cm3
# V = 11.258 Å³ per atom
# raw total energy = -6.43 eV/atom
# magnetization = 0.77 μB per formula unit

# 8
# LiDySi | OQMD | PBE | relaxed
data_LiDySi
_space_group_name_H-M_alt 'F -4 3 m'
_space_group_IT_number 216
_space_group_name_Hall 'F -4 2 3'
_cell_length_a 6.5363
_cell_length_b 6.5363
_cell_length_c 6.5363
_cell_angle_alpha 90.00
_cell_angle_beta 90.00
_cell_angle_gamma 90.00
loop_
_atom_site_label
_atom_site_type_symbol
_atom_site_fract_x
_atom_site_fract_y
_atom_site_fract_z
_atom_site_occupancy
Li1 Li 0.0000 0.0000 0.0000 1
Dy1 Dy 0.0000 0.0000 0.5000 1
Si1 Si 0.2500 0.2500 0.7500 1
# theoretical density = 4.70 g/cm3
# V = 23.271 Å³ per atom
# raw total energy = -4.40 eV/atom
# magnetization = 0.00 μB per formula unit

# 9
# PuThB | OQMD | PBE | relaxed
data_PuThB
_space_group_name_H-M_alt 'F -4 3 m'
_space_group_IT_number 216
_space_group_name_Hall 'F -4 2 3'
_cell_length_a 6.3563
_cell_length_b 6.3563
_cell_length_c 6.3563
_cell_angle_alpha 90.00
_cell_angle_beta 90.00
_cell_angle_gamma 90.00
loop_
_atom_site_label
_atom_site_type_symbol
_atom_site_fract_x
_atom_site_fract_y
_atom_site_fract_z
_atom_site_occupancy
Pu1 Pu 0.0000 0.0000 0.0000 1
Th1 Th 0.0000 0.0000 0.5000 1
B1 B 0.2500 0.2500 0.2500 1
# theoretical density = 12.59 g/cm3
# V = 21.401 Å³ per atom
# raw total energy = -9.29 eV/atom
# magnetization = 5.50 μB per formula unit

# 10
# NiAgBiPd | OQMD | PBE | relaxed
data_NiAgBiPd
_space_group_name_H-M_alt 'F -4 3 m'
_space_group_IT_number 216
_space_group_name_Hall 'F -4 2 3'
_cell_length_a 6.5478
_cell_length_b 6.5478
_cell_length_c 6.5478
_cell_angle_alpha 90.00
_cell_angle_beta 90.00
_cell_angle_gamma 90.00
loop_
_atom_site_label
_atom_site_type_symbol
_atom_site_fract_x
_atom_site_fract_y
_atom_site_fract_z
_atom_site_occupancy
Ni1 Ni 0.0000 0.0000 0.0000 1
Ag1 Ag 0.2500 0.2500 0.2500 1
Bi1 Bi 0.2500 0.2500 0.7500 1
Pd1 Pd 0.0000 0.0000 0.5000 1
# theoretical density = 11.40 g/cm3
# V = 17.545 Å³ per atom
# raw total energy = -4.41 eV/atom
# magnetization = 0.00 μB per formula unit

# 11
# La2TbAl7Cu2 | OQMD | PBE | relaxed
data_La2TbAl7Cu2
_space_group_name_H-M_alt 'R -3 m'
_space_group_IT_number 166
_space_group_name_Hall '-R 3 2"'
_cell_length_a 5.5926
_cell_length_b 5.5926
_cell_length_c 26.0148
_cell_angle_alpha 90.00
_cell_angle_beta 90.00
_cell_angle_gamma 120.00
loop_
_atom_site_label
_atom_site_type_symbol
_atom_site_fract_x
_atom_site_fract_y
_atom_site_fract_z
_atom_site_occupancy
La1 La 0.0000 0.0000 0.1422 1
Tb1 Tb 0.0000 0.0000 0.0000 1
Al1 Al 0.0000 0.0000 0.5000 1
Al2 Al 0.0052 0.5026 0.9242 1
Cu1 Cu 0.0000 0.0000 0.3355 1
# theoretical density = 5.32 g/cm3
# V = 19.574 Å³ per atom
# raw total energy = -4.47 eV/atom
# magnetization = 0.01 μB per formula unit

# 12
# TbHoGa2Ni4 | OQMD | PBE | relaxed
data_TbHoGa2Ni4
_space_group_name_H-M_alt 'P -6 m 2'
_space_group_IT_number 187
_space_group_name_Hall 'P -6 2'
_cell_length_a 4.1511
_cell_length_b 4.1511
_cell_length_c 8.7925
_cell_angle_alpha 90.00
_cell_angle_beta 90.00
_cell_angle_gamma 120.00
loop_
_atom_site_label
_atom_site_type_symbol
_atom_site_fract_x
_atom_site_fract_y
_atom_site_fract_z
_atom_site_occupancy
Tb1 Tb 0.0000 0.0000 0.0000 1
Ho1 Ho 0.3333 0.6667 0.5000 1
Ga1 Ga 0.6667 0.3333 0.2522 1
Ni1 Ni 0.0000 0.0000 0.3169 1
Ni2 Ni 0.3333 0.6667 0.1883 1
# theoretical density = 8.83 g/cm3
# V = 16.402 Å³ per atom
# raw total energy = -5.26 eV/atom
# magnetization = 0.00 μB per formula unit